Record 1
Density functional theory data (PBE-GGA) for a relaxed structure of Er2In9Ga.

Properties
Calculated density, g cm⁻³: 8.0
Spin magnetization, μB per formula unit: 0.000
V, Å³ per cell: 298.3
Formation energy from the elements, eV per atom: -0.2188
Symmetry: P4/mmm (123)

Unit cell a=4.614 b=4.614 c=14.011 alpha=90.00 beta=90.00 gamma=90.00
Positions (direct):
1 Er 0.000 0.000 0.336
2 Er 0.000 0.000 0.664
3 In 0.500 0.500 0.000
4 In 0.500 0.500 0.333
5 In 0.500 0.500 0.667
6 In 0.500 0.000 0.165
7 In 0.500 0.000 0.500
8 In 0.500 0.000 0.835
9 In 0.000 0.500 0.165
10 In 0.000 0.500 0.500
11 In 0.000 0.500 0.835
12 Ga 0.000 0.000 0.000

---

Record 2
Density functional theory data (PBE-GGA) for a relaxed structure of NaAuBr2.

Properties
Offset from the most stable computed form, eV/atom: 0.129
Calculated density, g cm⁻³: 4.8
Spin magnetization, μB per formula unit: 0.000
V, Å³ per cell: 264.3
Symmetry: I-42d (122)

Unit cell a=6.186 b=6.186 c=8.175 alpha=67.77 beta=67.77 gamma=90.00
Positions (direct):
1 Na 0.500 0.500 0.000
2 Na 0.250 0.750 0.500
3 Au 0.000 0.000 0.000
4 Au 0.750 0.250 0.500
5 Br 0.648 0.125 0.250
6 Br 0.102 0.625 0.250
7 Br 0.375 0.352 0.750
8 Br 0.875 0.898 0.750

---

Record 3
Density functional theory data (PBE-GGA) for a relaxed structure of ZrB3Mo.

Properties
Offset from the most stable computed form, eV/atom: 1.296
Calculated density, g cm⁻³: 5.4
Spin magnetization, μB per formula unit: 0.000
V, Å³ per cell: 67.1
Formation energy from the elements, eV per atom: 0.5587
Symmetry: Pm-3m (221)

Unit cell a=4.063 b=4.063 c=4.063 alpha=90.00 beta=90.00 gamma=90.00
Positions (direct):
1 Mo 0.000 0.000 0.000
2 B 0.000 0.500 0.000
3 B 0.000 0.000 0.500
4 B 0.500 0.000 0.000
5 Zr 0.500 0.500 0.500

---

Record 4
Density functional theory data (PBE-GGA) for a relaxed structure of Cr2CuP.

Properties
Calculated density, g cm⁻³: 7.0
Spin magnetization, μB per formula unit: 0.002
V, Å³ per cell: 47.2
Formation energy from the elements, eV per atom: 0.0643
Symmetry: P4mm (99)

Unit cell a=3.057 b=3.057 c=5.055 alpha=90.00 beta=90.00 gamma=90.00
Positions (direct):
1 Cr 0.000 0.000 0.007
2 Cr 0.500 0.500 0.237
3 Cu 0.000 0.000 0.508
4 P 0.500 0.500 0.748

---

- Which formula does entry 3 have?
  ZrB3Mo